Material: SrEuSn
Method: DFT, PBE
State: optimized geometry

crystal system = tetragonal
VASP energy = -5.112 eV/atom
DFT formation energy = 207 meV per atom
symmetry = No. 107

a = 3.592 Å, b = 3.592 Å, c = 19.526 Å
α = 90.00°, β = 90.00°, γ = 90.00°
Sites, in units of the cell vectors:
Sr 0.000 0.000 0.000
Sr 0.500 0.500 0.500
Eu 0.000 0.000 0.665
Eu 0.500 0.500 0.165
Sn 0.000 0.000 0.830
Sn 0.500 0.500 0.330



Material: AcNd4Ho6
Method: DFT, PBE
State: optimized geometry

crystal system = tetragonal
VASP energy = -4.241 eV/atom
DFT formation energy = 363 meV per atom
symmetry = No. 121
energy relative to the lowest polymorph listed for this composition = 0.0 kJ/mol of atoms

a = 8.951 Å, b = 8.951 Å, c = 8.951 Å
α = 131.76°, β = 131.76°, γ = 70.61°
Sites, in units of the cell vectors:
Ac 0.000 0.000 0.000
Nd 0.028 0.028 0.432
Nd 0.404 0.972 0.000
Nd 0.596 0.596 0.568
Nd 0.972 0.404 0.000
Ho 0.000 0.500 0.500
Ho 0.253 0.564 0.000
Ho 0.436 0.436 0.689
Ho 0.500 0.000 0.500
Ho 0.564 0.253 0.000
Ho 0.747 0.747 0.311



Material: Nb2ZnAu
Method: DFT, PBE
State: optimized geometry

crystal system = cubic
VASP energy = -5.945 eV/atom
DFT formation energy = 227 meV per atom
symmetry = No. 216

a = 6.544 Å, b = 6.544 Å, c = 6.544 Å
α = 90.00°, β = 90.00°, γ = 90.00°
Sites, in units of the cell vectors:
Nb 0.000 0.000 0.000
Nb 0.000 0.500 0.500
Nb 0.250 0.250 0.250
Nb 0.250 0.750 0.750
Nb 0.500 0.000 0.500
Nb 0.500 0.500 0.000
Nb 0.750 0.250 0.750
Nb 0.750 0.750 0.250
Zn 0.250 0.250 0.750
Zn 0.250 0.750 0.250
Zn 0.750 0.250 0.250
Zn 0.750 0.750 0.750
Au 0.000 0.000 0.500
Au 0.000 0.500 0.000
Au 0.500 0.000 0.000
Au 0.500 0.500 0.500



Material: CoTe2As
Method: DFT, PBE
State: optimized geometry

crystal system = tetragonal
VASP energy = -4.322 eV/atom
ΔE_f (raw) = 0.1876 eV/atom
symmetry = No. 122

a = 6.112 Å, b = 6.112 Å, c = 11.790 Å
α = 90.00°, β = 90.00°, γ = 90.00°
Sites, in units of the cell vectors:
Co 0.000 0.000 0.000
Co 0.000 0.500 0.250
Co 0.500 0.000 0.750
Co 0.500 0.500 0.500
Te 0.191 0.250 0.125
Te 0.250 0.691 0.375
Te 0.250 0.809 0.875
Te 0.309 0.250 0.625
Te 0.691 0.750 0.625
Te 0.750 0.191 0.875
Te 0.750 0.309 0.375
Te 0.809 0.750 0.125
As 0.000 0.000 0.500
As 0.000 0.500 0.750
As 0.500 0.000 0.250
As 0.500 0.500 0.000



Material: VPS2Br
Method: DFT, PBE
State: optimized geometry

crystal system = tetragonal
VASP energy = -4.803 eV/atom
ΔE_f (raw) = 0.0879 eV/atom
symmetry = No. 123
energy relative to the lowest polymorph listed for this composition = 0.0 kJ/mol of atoms

a = 4.409 Å, b = 4.409 Å, c = 5.098 Å
α = 90.00°, β = 90.00°, γ = 90.00°
Sites, in units of the cell vectors:
V 0.000 0.000 0.000
P 0.000 0.000 0.500
S 0.000 0.500 0.000
S 0.500 0.000 0.000
Br 0.500 0.500 0.500



Material: Rb3NiSn
Method: DFT, PBE
State: optimized geometry

crystal system = cubic
VASP energy = -1.942 eV/atom
DFT formation energy = 595 meV per atom
symmetry = No. 221
energy relative to the lowest polymorph listed for this composition = 0.0 kJ/mol of atoms

a = 6.375 Å, b = 6.375 Å, c = 6.375 Å
α = 90.00°, β = 90.00°, γ = 90.00°
Sites, in units of the cell vectors:
Rb 0.000 0.000 0.500
Rb 0.000 0.500 0.000
Rb 0.500 0.000 0.000
Ni 0.000 0.000 0.000
Sn 0.500 0.500 0.500



> Which formula does entry 3 have?

Nb2ZnAu



> The lowest VASP energy belongs to which entry?

Nb2ZnAu



> VASP energy of number 3 (Nb2ZnAu)?

-5.945 eV/atom